1.
# La6SmHo4 GGA-PBE optimized geometry
data_La6SmHo4
_chemical_formula_sum 'La24 Sm4 Ho16'
_symmetry_space_group_name_H-M 'C m c m'
_symmetry_Int_Tables_number 63
_symmetry_space_group_name_Hall '-C 2c 2'
_cell_length_a 5.9193
_cell_length_b 9.8646
_cell_length_c 26.3211
_cell_angle_alpha 90.00
_cell_angle_beta 90.00
_cell_angle_gamma 90.00
loop_
_atom_site_label
_atom_site_type_symbol
_atom_site_fract_x
_atom_site_fract_y
_atom_site_fract_z
La1 La 0.0000 0.0000 0.0000
La2 La 0.0000 0.0428 0.2500
La3 La 0.0000 0.3080 0.5974
La4 La 0.0000 0.3681 0.1813
Sm1 Sm 0.0000 0.2972 0.7500
Ho1 Ho 0.0000 0.0330 0.1246
Ho2 Ho 0.0000 0.3452 0.0454
# Calculated total energy: -205.951 eV for the cell shown
# Formation energy from the elements: 0.10 eV per atom
# Theoretical density: 7.10 g/cm³


2.
# HfMn3Zn GGA-PBE optimized geometry
data_HfMn3Zn
_chemical_formula_sum 'Hf1 Mn3 Zn1'
_symmetry_space_group_name_H-M 'P m -3 m'
_symmetry_Int_Tables_number 221
_symmetry_space_group_name_Hall '-P 4 2 3'
_cell_length_a 4.7368
_cell_length_b 4.7368
_cell_length_c 4.7368
_cell_angle_alpha 90.00
_cell_angle_beta 90.00
_cell_angle_gamma 90.00
loop_
_atom_site_label
_atom_site_type_symbol
_atom_site_fract_x
_atom_site_fract_y
_atom_site_fract_z
Hf1 Hf 0.0000 0.0000 0.0000
Mn1 Mn 0.0000 0.0000 0.5000
Zn1 Zn 0.5000 0.5000 0.5000
# Calculated total energy: -31.682 eV for the cell shown
# Formation energy from the elements: 1.41 eV per atom
# Theoretical density: 6.39 g/cm³


3.
# LaCd3Hg2 GGA-PBE optimized geometry
data_LaCd3Hg2
_chemical_formula_sum 'La4 Cd12 Hg8'
_symmetry_space_group_name_H-M 'C 1 2/m 1'
_symmetry_Int_Tables_number 12
_cell_length_a 17.5376
_cell_length_b 4.7918
_cell_length_c 7.7059
_cell_angle_alpha 90.00
_cell_angle_beta 111.32
_cell_angle_gamma 90.00
loop_
_symmetry_equiv_pos_as_xyz
'x,y,z'
'-x,-y,-z'
'-x,y,-z'
'x,-y,z'
'x+1/2,y+1/2,z'
'-x+1/2,-y+1/2,-z'
'-x+1/2,y+1/2,-z'
'x+1/2,-y+1/2,z'
loop_
_atom_site_label
_atom_site_type_symbol
_atom_site_fract_x
_atom_site_fract_y
_atom_site_fract_z
La1 La 0.1209 0.0000 0.1889
Cd1 Cd 0.0708 0.0000 0.6878
Cd2 Cd 0.1280 0.5000 0.5120
Cd3 Cd 0.1960 0.5000 0.9288
Hg1 Hg 0.0169 0.5000 0.8268
Hg2 Hg 0.2381 0.0000 0.6618
# Calculated total energy: -39.592 eV for the cell shown
# Formation energy from the elements: -0.27 eV per atom
# Theoretical density: 9.66 g/cm³


4.
# V6Fe5Os GGA-PBE optimized geometry
data_V6Fe5Os
_chemical_formula_sum 'V12 Fe10 Os2'
_symmetry_space_group_name_H-M 'C 1 2/m 1'
_symmetry_Int_Tables_number 12
_cell_length_a 13.0064
_cell_length_b 5.8077
_cell_length_c 4.1267
_cell_angle_alpha 90.00
_cell_angle_beta 108.34
_cell_angle_gamma 90.00
loop_
_symmetry_equiv_pos_as_xyz
'x,y,z'
'-x,-y,-z'
'-x,y,-z'
'x,-y,z'
'x+1/2,y+1/2,z'
'-x+1/2,-y+1/2,-z'
'-x+1/2,y+1/2,-z'
'x+1/2,-y+1/2,z'
loop_
_atom_site_label
_atom_site_type_symbol
_atom_site_fract_x
_atom_site_fract_y
_atom_site_fract_z
V1 V 0.0000 0.2416 0.0000
V2 V 0.1699 0.2459 0.6696
Fe1 Fe 0.0000 0.0000 0.5000
Fe2 Fe 0.1661 0.5000 0.1655
Fe3 Fe 0.1678 0.0000 0.1673
Os1 Os 0.0000 0.5000 0.5000
# Calculated total energy: -220.120 eV for the cell shown
# Formation energy from the elements: -0.15 eV per atom
# Theoretical density: 8.70 g/cm³


5.
# ThBe2Ge2Ru GGA-PBE optimized geometry
data_ThBe2Ge2Ru
_chemical_formula_sum 'Th1 Be2 Ge2 Ru1'
_symmetry_space_group_name_H-M 'P -3 m 1'
_symmetry_Int_Tables_number 164
_symmetry_space_group_name_Hall '-P 3 2"'
_cell_length_a 3.9882
_cell_length_b 3.9882
_cell_length_c 6.8502
_cell_angle_alpha 90.00
_cell_angle_beta 90.00
_cell_angle_gamma 120.00
loop_
_atom_site_label
_atom_site_type_symbol
_atom_site_fract_x
_atom_site_fract_y
_atom_site_fract_z
Th1 Th 0.0000 0.0000 0.0000
Be1 Be 0.3333 0.6667 0.3410
Ge1 Ge 0.3333 0.6667 0.7075
Ru1 Ru 0.0000 0.0000 0.5000
# Calculated total energy: -35.860 eV for the cell shown
# Formation energy from the elements: -0.41 eV per atom
# Theoretical density: 8.74 g/cm³


6.
# Er5Sb2C2 GGA-PBE optimized geometry
data_Er5Sb2C2
_chemical_formula_sum 'Er20 Sb8 C8'
_symmetry_space_group_name_H-M 'I m a 2'
_symmetry_Int_Tables_number 46
_cell_length_a 19.4238
_cell_length_b 6.8601
_cell_length_c 6.6524
_cell_angle_alpha 90.00
_cell_angle_beta 90.00
_cell_angle_gamma 90.00
loop_
_symmetry_equiv_pos_as_xyz
'x,y,z'
'-x,-y,z'
'-x+1/2,y,z'
'x+1/2,-y,z'
'x+1/2,y+1/2,z+1/2'
'-x+1/2,-y+1/2,z+1/2'
'-x,y+1/2,z+1/2'
'x,-y+1/2,z+1/2'
loop_
_atom_site_label
_atom_site_type_symbol
_atom_site_fract_x
_atom_site_fract_y
_atom_site_fract_z
Er1 Er 0.0036 0.2504 0.0000
Er2 Er 0.1368 0.5235 0.2564
Er3 Er 0.2500 0.1276 0.3628
Sb1 Sb 0.1096 0.5127 0.7467
C1 C 0.0000 0.0000 0.7485
C2 C 0.2500 0.0745 0.7083
# Calculated total energy: -219.089 eV for the cell shown
# Theoretical density: 8.27 g/cm³
# Formation energy without anion corrections: -0.59 eV per atom